PuPdSe (PBE-GGA, relaxed); VASP energy = -0.62739 Ry/atom; ρ = 11.17 g/cm3; volume = 63.8 Å³/cell; offset from the most stable computed form = 0.0000 eV/atom; D(E_F) = 12.3 states/eV/cell
1.0
-2.306 -2.480 -1.613
-0.787 -1.840 3.955
-2.556 3.319 -1.449
Se Pd Pu
1 1 1
direct
0.166 0.000 0.000
0.167 0.333 0.667
0.667 0.667 0.333